[1]
{"formula": "ThRuPt", "functional": "PBE", "state": "optimized geometry", "de_polymorph_mev_per_atom": 41, "space_group": "P2_1/m (11)", "final_energy_ev_per_atom": -8.1836, "lattice_angstrom": [[-2.8195, 3.8420, -1.6788], [-4.1628, 1.8301, 5.6513], [3.5416, 5.9542, 2.1498]], "species": ["Ru", "Pt", "Ru", "Pt", "Pt", "Pt", "Ru", "Th", "Th", "Th", "Th", "Ru"], "fractional_positions": [[0.4056, 0.5783, 0.3283], [0.4346, 0.1956, 0.4456], [0.4056, 0.0783, 0.8283], [0.5653, 0.3044, 0.0544], [0.5654, 0.8044, 0.5544], [0.4347, 0.6956, 0.9456], [0.5944, 0.4217, 0.6717], [0.0449, 0.4943, 0.7445], [0.0448, 0.9947, 0.2445], [0.9552, 0.0053, 0.7555], [0.9551, 0.5057, 0.2555], [0.5944, 0.9217, 0.1717]]}

***

[2]
{"formula": "HgGe2F6", "functional": "PBE", "state": "optimized geometry", "space_group": "C2/c (15)", "final_energy_ev_per_atom": -4.1595, "e_form_raw_ev_per_atom": -1.8524, "lattice_angstrom": [[-5.6708, 2.6201, 0.6907], [-4.2458, -3.7404, -4.6808], [-2.5416, -2.9296, 6.2358]], "species": ["F", "Ge", "Hg", "F", "F", "F", "Ge", "Hg", "F", "F", "Ge", "F", "F", "F", "F", "F", "Ge", "F"], "fractional_positions": [[0.1476, 0.7965, 0.9483], [0.1523, 0.2233, 0.4637], [0.2500, 0.0969, 0.9031], [0.1256, 0.0444, 0.6307], [0.6256, 0.6307, 0.0444], [0.8744, 0.9556, 0.3693], [0.6523, 0.4637, 0.2233], [0.7500, 0.9031, 0.0969], [0.6476, 0.9483, 0.7965], [0.0731, 0.4844, 0.7692], [0.8477, 0.7767, 0.5363], [0.9269, 0.5156, 0.2308], [0.3744, 0.3693, 0.9556], [0.4269, 0.2308, 0.5156], [0.8524, 0.2035, 0.0517], [0.3524, 0.0517, 0.2035], [0.3477, 0.5363, 0.7767], [0.5731, 0.7692, 0.4844]]}

***

[3]
{"formula": "Ti2VP2", "functional": "PBE", "state": "optimized geometry", "de_polymorph_mev_per_atom": 0, "space_group": "P4/mbm (127)", "final_energy_ev_per_atom": -8.1656, "lattice_angstrom": [[-5.7715, -1.5530, -1.9848], [-1.9521, -0.3822, 5.9753], [-0.8771, 3.3519, -0.0722]], "species": ["V", "P", "P", "P", "P", "Ti", "Ti", "V", "Ti", "Ti"], "fractional_positions": [[0.5000, 0.5000, 0.0000], [0.6392, 0.1392, 0.0000], [0.3608, 0.8608, 0.0000], [0.1392, 0.3608, 0.0000], [0.8608, 0.6392, 0.0000], [0.3358, 0.1642, 0.5000], [0.1642, 0.6642, 0.5000], [0.0000, 0.0000, 0.0000], [0.8358, 0.3358, 0.5000], [0.6642, 0.8358, 0.5000]]}

***

[4]
{"formula": "Ta2CrGe", "functional": "PBE", "state": "optimized geometry", "space_group": "I-42d (122)", "final_energy_ev_per_atom": -8.9063, "lattice_angstrom": [[7.0266, 0.0000, 0.0000], [0.0000, 7.0266, 0.0000], [3.5133, 3.5133, 2.7613]], "species": ["Cr", "Ta", "Ta", "Ge", "Cr", "Ge", "Ta", "Ta"], "fractional_positions": [[0.2500, 0.7500, 0.5000], [0.8750, 0.8574, 0.7500], [0.6074, 0.1250, 0.2500], [0.0000, 0.0000, 0.0000], [0.5000, 0.5000, 0.0000], [0.7500, 0.2500, 0.5000], [0.3750, 0.3926, 0.7500], [0.1426, 0.6250, 0.2500]]}

***

[5]
{"formula": "NiAu2", "functional": "PBE", "state": "optimized geometry", "space_group": "Pnma (62)", "final_energy_ev_per_atom": -4.0144, "lattice_angstrom": [[-3.2230, -3.4018, 3.0002], [1.6448, -3.2518, -1.9202], [5.8523, -0.4507, 5.7761]], "species": ["Au", "Ni", "Au", "Au", "Au", "Au", "Au", "Au", "Au", "Ni", "Ni", "Ni"], "fractional_positions": [[0.9148, 0.7500, 0.7671], [0.6435, 0.2500, 0.5874], [0.6490, 0.2500, 0.9238], [0.8510, 0.7500, 0.4238], [0.3510, 0.7500, 0.0762], [0.5852, 0.2500, 0.2671], [0.4148, 0.7500, 0.7329], [0.0852, 0.2500, 0.2329], [0.1490, 0.2500, 0.5762], [0.8565, 0.7500, 0.0874], [0.1435, 0.2500, 0.9126], [0.3565, 0.7500, 0.4126]]}

***

[6]
{"formula": "KH2WCl", "functional": "PBE", "state": "optimized geometry", "space_group": "P4/mmm (123)", "final_energy_ev_per_atom": -4.2998, "lattice_angstrom": [[-2.0379, 2.5777, 2.2875], [0.4215, -2.8987, 3.6419], [3.4273, 1.7943, 1.0315]], "species": ["W", "H", "H", "Cl", "K"], "fractional_positions": [[0.0000, 0.0000, 0.0000], [0.0000, 0.0000, 0.5000], [0.5000, 0.0000, 0.0000], [0.0000, 0.5000, 0.0000], [0.5000, 0.5000, 0.5000]]}